# 1
The following is a DFT calculation (PBE) of an optimized crystal structure of Pr6Y5Sc.

Output
Size of the total moment, Bohr magnetons per cell: 0.00
ΔH_f (0 K), eV per atom: 0.025
Uncorrected energy, eV per atom: -5.5856
Crystal system: orthorhombic

Structure (POSCAR):
```
Pr6Y5Sc
1.0
4.9509 0.0169 -1.4429
-1.3749 8.8462 -4.6084
0.0989 -0.7413 9.5462
Pr Y Sc
6 5 1
direct
0.8348 0.5876 0.6695
0.8347 0.0819 0.6695
0.1652 0.4124 0.3305
0.1653 0.9181 0.3305
0.4999 0.2448 0.0000
0.5001 0.7552 0.0000
0.0000 0.5000 0.0000
0.3346 0.8346 0.6693
0.6657 0.6657 0.3315
0.3343 0.3343 0.6685
0.6654 0.1654 0.3307
0.0000 0.0000 0.0000
```

***

# 2
The following is a DFT calculation (PBE) of an optimized crystal structure of CdMoRu2.

Output
Size of the total moment, Bohr magnetons per cell: 0.00
ΔH_f (0 K), eV per atom: 0.589
Uncorrected energy, eV per atom: -6.9856
Crystal system: orthorhombic

Structure (POSCAR):
```
CdMoRu2
1.0
2.8876 0.0000 0.0000
0.0000 4.8171 0.0000
0.0000 0.0000 4.5711
Cd Mo Ru
1 1 2
direct
0.5000 0.0000 0.5000
0.0000 0.5000 0.5000
0.5000 0.5000 0.0000
0.0000 0.0000 0.0000
```

***

# 3
The following is a DFT calculation (PBE) of an optimized crystal structure of RbNiGe2.

Output
Size of the total moment, Bohr magnetons per cell: 0.00
Polymorph energy (0 for the lowest one), eV per atom: 0.157
ΔH_f (0 K), eV per atom: 0.006
Uncorrected energy, eV per atom: -3.9902
Crystal system: tetragonal

Structure (POSCAR):
```
RbNiGe2
1.0
3.1912 0.0000 0.0000
0.0000 3.1912 0.0000
0.0000 0.0000 8.0548
Ge Rb Ni
2 1 1
direct
0.0000 0.0000 0.1645
0.0000 0.0000 0.8355
0.5000 0.5000 0.5000
0.5000 0.5000 0.0000
```

***

# 4
The following is a DFT calculation (PBE) of an optimized crystal structure of PmHo3In.

Output
Size of the total moment, Bohr magnetons per cell: 0.00
Polymorph energy (0 for the lowest one), eV per atom: 0.000
ΔH_f (0 K), eV per atom: -0.177
Uncorrected energy, eV per atom: -4.4214
Crystal system: orthorhombic

Structure (POSCAR):
```
PmHo3In
1.0
4.7233 0.0000 1.0794
0.0000 4.8320 0.0000
-0.4452 0.0000 12.8222
Ho Pm In
6 2 2
direct
0.8758 0.7500 0.8967
0.0740 0.7500 0.5004
0.5744 0.2500 0.4996
0.7725 0.2500 0.1033
0.3718 0.2500 0.9047
0.2765 0.7500 0.0953
0.1760 0.2500 0.2963
0.4723 0.7500 0.7037
0.9777 0.2500 0.6929
0.6706 0.7500 0.3071
```

***

# 5
The following is a DFT calculation (PBE) of an optimized crystal structure of In3WC.

Output
Size of the total moment, Bohr magnetons per cell: 0.00
Polymorph energy (0 for the lowest one), eV per atom: 0.481
ΔH_f (0 K), eV per atom: 2.024
Uncorrected energy, eV per atom: -4.0541
Crystal system: cubic

Structure (POSCAR):
```
In3WC
1.0
5.3710 0.0000 0.0000
0.0000 5.3710 0.0000
0.0000 0.0000 5.3710
C In W
1 3 1
direct
0.5000 0.5000 0.5000
0.0000 0.0000 0.5000
0.0000 0.5000 0.0000
0.5000 0.0000 0.0000
0.0000 0.0000 0.0000
```

***

# 6
The following is a DFT calculation (PBE) of an optimized crystal structure of Zn3NiIr2.

Output
Size of the total moment, Bohr magnetons per cell: 0.00
ΔH_f (0 K), eV per atom: -0.176
Uncorrected energy, eV per atom: -4.7307
Crystal system: orthorhombic

Structure (POSCAR):
```
Zn3NiIr2
1.0
3.0882 0.0000 0.0000
0.0000 3.9695 -1.3141
0.0000 -0.0172 6.6005
Zn Ni Ir
3 1 2
direct
0.5000 0.5000 0.0000
0.5000 0.8379 0.6759
0.5000 0.1621 0.3241
0.0000 0.0000 0.0000
0.0000 0.3357 0.6713
0.0000 0.6643 0.3287
```

***

# 7
The following is a DFT calculation (PBE) of an optimized crystal structure of Nd4GeSCl2.

Output
Size of the total moment, Bohr magnetons per cell: 0.00
Energy relative to the elements, uncorrected, eV per atom: -1.500
Uncorrected energy, eV per atom: -5.4385
Crystal system: monoclinic

Structure (POSCAR):
```
Nd4GeSCl2
1.0
4.2117 0.0000 0.0000
0.0000 7.3715 -0.1665
0.0000 2.5697 6.6767
Ge Nd Cl S
1 4 2 1
direct
0.5000 0.5000 0.0000
0.0000 0.2780 0.2520
0.5000 0.2849 0.7289
0.5000 0.7151 0.2711
0.0000 0.7220 0.7480
0.5000 0.0000 0.5000
0.0000 0.0000 0.0000
0.0000 0.5000 0.5000
```

***

# 8
The following is a DFT calculation (PBE) of an optimized crystal structure of NbB2Mo4.

Output
Size of the total moment, Bohr magnetons per cell: 0.00
ΔH_f (0 K), eV per atom: -0.090
Uncorrected energy, eV per atom: -9.6260
Crystal system: orthorhombic

Structure (POSCAR):
```
NbB2Mo4
1.0
3.2245 0.0000 0.0000
0.0000 4.1232 0.0000
0.0000 -2.0616 7.1628
B Mo Nb
2 4 1
direct
0.5000 0.5592 0.1183
0.5000 0.4408 0.8817
0.0000 0.3276 0.6552
0.0000 0.6724 0.3448
0.5000 0.8350 0.6699
0.5000 0.1650 0.3301
0.0000 0.0000 0.0000
```

***

# 9
The following is a DFT calculation (PBE) of an optimized crystal structure of Zr2AgAu.

Output
Size of the total moment, Bohr magnetons per cell: 0.21
ΔH_f (0 K), eV per atom: -0.254
Uncorrected energy, eV per atom: -6.0604
Crystal system: orthorhombic

Structure (POSCAR):
```
Zr2AgAu
1.0
4.9926 0.0000 0.0000
0.0000 3.0218 -0.0200
0.0000 0.0411 5.2809
Au Ag Zr
1 1 2
direct
0.5000 0.6248 0.8067
0.0000 0.6251 0.4431
0.0000 0.1238 0.9279
0.5000 0.1263 0.3223
```

***

# 10
The following is a DFT calculation (PBE) of an optimized crystal structure of Ce2AlCu3Ni12.

Output
Size of the total moment, Bohr magnetons per cell: 0.00
ΔH_f (0 K), eV per atom: 0.140
Uncorrected energy, eV per atom: -5.2643
Crystal system: trigonal

Structure (POSCAR):
```
Ce2AlCu3Ni12
1.0
-7.9424 2.1452 2.6796
-8.0106 -3.2428 -0.4215
-5.9803 -3.0621 5.4519
Ni Cu Ce Al
12 3 2 1
direct
0.5798 0.1996 0.5798
0.1276 0.5654 0.1276
0.8004 0.4202 0.4202
0.1276 0.1276 0.5654
0.5798 0.5798 0.1996
0.4202 0.4202 0.8004
0.8724 0.4346 0.8724
0.1996 0.5798 0.5798
0.5654 0.1276 0.1276
0.4346 0.8724 0.8724
0.8724 0.8724 0.4346
0.4202 0.8004 0.4202
0.0000 0.5000 0.0000
0.5000 0.0000 0.0000
0.0000 0.0000 0.5000
0.6394 0.6394 0.6394
0.3606 0.3606 0.3606
0.0000 0.0000 0.0000
```

***

# 11
The following is a DFT calculation (PBE) of an optimized crystal structure of TbNpTe2O.

Output
Size of the total moment, Bohr magnetons per cell: 7.46
Energy relative to the elements, uncorrected, eV per atom: -1.751
Uncorrected energy, eV per atom: -7.5136
Crystal system: tetragonal

Structure (POSCAR):
```
TbNpTe2O
1.0
-2.5689 -1.1446 3.0721
-0.2710 -3.8154 -1.6482
12.1816 -4.5355 8.4966
Tb Te O Np
2 4 2 2
direct
0.0000 0.5000 0.8703
0.5000 0.0000 0.1297
0.5000 0.0000 0.3205
0.0000 0.5000 0.0863
0.0000 0.5000 0.6795
0.5000 0.0000 0.9137
0.0000 0.0000 0.5000
0.5000 0.5000 0.5000
0.5000 0.0000 0.5697
0.0000 0.5000 0.4303
```

***

# 12
The following is a DFT calculation (PBE) of an optimized crystal structure of LiPr2Sn3Ir4.

Output
Size of the total moment, Bohr magnetons per cell: 0.00
ΔH_f (0 K), eV per atom: -0.511
Uncorrected energy, eV per atom: -6.4031
Crystal system: tetragonal

Structure (POSCAR):
```
LiPr2Sn3Ir4
1.0
-1.6362 -2.0806 -3.3889
-0.7354 -3.4430 2.4689
-10.4305 4.0544 2.5469
Sn Ir Li Pr
3 4 1 2
direct
0.0000 0.0000 0.5000
0.0000 0.5000 0.1310
0.5000 0.0000 0.8690
0.5000 0.5000 0.0000
0.0000 0.5000 0.3593
0.5000 0.0000 0.6407
0.0000 0.0000 0.0000
0.5000 0.5000 0.5000
0.0000 0.5000 0.7444
0.5000 0.0000 0.2556
```

***

What is the formula in the sixth record? Zn3NiIr2